## P
PmSmHo | PBE | optimized geometry

a = 3.627 Å, b = 3.621 Å, c = 8.993 Å
α = 78.18°, β = 89.95°, γ = 59.94°
Sites, in units of the cell vectors:
Pm 0.092 0.239 0.616
Ho 0.871 0.680 0.947
Sm 0.650 0.123 0.276

Calculated values
SG ... Cm



## Q
PmSmHo | PBE | optimized geometry

a = 3.505 Å, b = 5.697 Å, c = 5.697 Å
α = 120.00°, β = 90.00°, γ = 90.00°
Sites, in units of the cell vectors:
Sm 0.667 0.667 0.333
Ho 0.166 0.333 0.667
Pm 0.167 0.000 0.000

Calculated values
SG ... P-6m2



Each structure's energy above the most stable one, in meV/atom: P 0; Q 47.



## P
Pm3Sm7Ho2 | PBE | optimized geometry

a = 6.593 Å, b = 6.593 Å, c = 11.931 Å
α = 73.96°, β = 73.96°, γ = 60.00°
Sites, in units of the cell vectors:
Sm 0.414 0.414 0.252
Sm 0.500 0.500 0.500
Sm 0.586 0.586 0.748
Sm 0.414 0.920 0.252
Sm 0.080 0.586 0.748
Sm 0.586 0.080 0.748
Sm 0.920 0.414 0.252
Ho 0.334 0.334 0.999
Ho 0.666 0.666 0.001
Pm 0.153 0.153 0.541
Pm 0.000 0.000 0.000
Pm 0.847 0.847 0.459

Calculated values
SG ... R-3m



## Q
Pm3Sm7Ho2 | PBE | optimized geometry

a = 3.606 Å, b = 5.912 Å, c = 19.052 Å
α = 93.16°, β = 90.00°, γ = 90.00°
Sites, in units of the cell vectors:
Ho 0.500 0.710 0.295
Ho 0.500 0.290 0.705
Sm 0.500 0.188 0.180
Sm 0.000 0.686 0.145
Sm 0.000 0.314 0.855
Sm 0.500 0.743 0.464
Sm 0.500 0.812 0.820
Sm 0.000 0.000 0.000
Sm 0.500 0.257 0.536
Pm 0.000 0.781 0.633
Pm 0.000 0.219 0.367
Pm 0.500 0.500 0.000

Calculated values
SG ... P2/m



Each structure's energy above the most stable one, in meV/atom: P 198; Q 0.



## P
Pm2Sm6Ho3 | PBE | optimized geometry

a = 6.189 Å, b = 6.196 Å, c = 11.753 Å
α = 84.90°, β = 79.74°, γ = 60.04°
Sites, in units of the cell vectors:
Sm 0.584 0.333 0.248
Sm 0.917 0.667 0.248
Sm 0.416 0.667 0.752
Sm 0.083 0.333 0.752
Sm 0.251 0.000 0.248
Sm 0.749 0.000 0.752
Ho 0.000 0.000 0.000
Ho 0.334 0.331 0.000
Ho 0.666 0.669 0.000
Pm 0.166 0.667 0.500
Pm 0.834 0.333 0.500

Calculated values
SG ... C2/m



## Q
Pm2Sm6Ho3 | PBE | optimized geometry

a = 4.779 Å, b = 4.779 Å, c = 17.182 Å
α = 97.99°, β = 97.99°, γ = 90.00°
Sites, in units of the cell vectors:
Sm 0.699 0.699 0.397
Sm 0.878 0.378 0.757
Sm 0.122 0.622 0.243
Sm 0.378 0.878 0.757
Sm 0.301 0.301 0.603
Sm 0.622 0.122 0.243
Ho 0.199 0.199 0.399
Ho 0.000 0.000 0.000
Ho 0.801 0.801 0.601
Pm 0.454 0.454 0.909
Pm 0.546 0.546 0.091

Calculated values
SG ... I4/mmm



Each structure's energy above the most stable one, in meV/atom: P 0; Q 107.



## P
PmSm7Ho2 | PBE | optimized geometry

a = 6.248 Å, b = 10.811 Å, c = 8.073 Å
α = 107.37°, β = 104.98°, γ = 39.72°
Sites, in units of the cell vectors:
Pm 0.000 0.000 0.000
Sm 0.301 0.100 0.799
Sm 0.100 0.700 0.599
Sm 0.802 0.600 0.799
Sm 0.500 0.500 0.000
Sm 0.900 0.300 0.401
Sm 0.198 0.400 0.201
Sm 0.699 0.900 0.201
Ho 0.602 0.199 0.599
Ho 0.398 0.801 0.401

Calculated values
SG ... P-1



## Q
PmSm7Ho2 | PBE | optimized geometry

a = 5.695 Å, b = 9.215 Å, c = 9.215 Å
α = 122.49°, β = 90.00°, γ = 90.00°
Sites, in units of the cell vectors:
Sm 0.500 0.063 0.294
Sm 0.500 0.294 0.063
Sm 0.500 0.706 0.937
Sm 0.000 0.777 0.223
Sm 0.500 0.500 0.500
Sm 0.000 0.223 0.777
Sm 0.500 0.937 0.706
Ho 0.500 0.296 0.704
Ho 0.500 0.704 0.296
Pm 0.000 0.000 0.000

Calculated values
SG ... Cmmm



Each structure's energy above the most stable one, in meV/atom: P 0; Q 645.



## P
PmSmHo5 | PBE | optimized geometry

a = 5.756 Å, b = 7.860 Å, c = 7.860 Å
α = 66.51°, β = 68.52°, γ = 68.52°
Sites, in units of the cell vectors:
Ho 0.746 0.254 0.254
Ho 0.500 0.821 0.179
Ho 0.500 0.179 0.821
Ho 0.000 0.500 0.500
Ho 0.254 0.746 0.746
Sm 0.500 0.500 0.500
Pm 0.000 0.000 0.000

Calculated values
SG ... Immm



## Q
PmSmHo5 | PBE | optimized geometry

a = 6.753 Å, b = 6.753 Å, c = 13.759 Å
α = 61.30°, β = 61.30°, γ = 60.35°
Sites, in units of the cell vectors:
Ho 0.170 0.391 0.749
Ho 0.163 0.837 0.750
Ho 0.837 0.163 0.250
Ho 0.695 0.649 0.001
Ho 0.830 0.609 0.251
Ho 0.351 0.305 0.499
Ho 0.649 0.695 0.501
Ho 0.305 0.351 0.999
Ho 0.609 0.830 0.751
Ho 0.391 0.170 0.249
Pm 0.276 0.724 0.250
Pm 0.724 0.276 0.750
Sm 0.000 0.000 0.500
Sm 0.000 0.000 0.000

Calculated values
SG ... C2/c



Each structure's energy above the most stable one, in meV/atom: P 910; Q 0.



## P
Pm2Sm4Ho | PBE | optimized geometry

a = 6.184 Å, b = 6.675 Å, c = 11.719 Å
α = 90.00°, β = 103.86°, γ = 90.00°
Sites, in units of the cell vectors:
Pm 0.602 0.750 0.994
Pm 0.287 0.250 0.426
Pm 0.398 0.250 0.006
Pm 0.713 0.750 0.574
Sm 0.647 0.509 0.286
Sm 0.028 0.750 0.859
Sm 0.972 0.250 0.141
Sm 0.647 0.991 0.286
Sm 0.353 0.491 0.714
Sm 0.353 0.009 0.714
Sm 0.151 0.750 0.448
Sm 0.849 0.250 0.552
Ho 0.144 0.750 0.160
Ho 0.856 0.250 0.840

Calculated values
SG ... P2_1/m



## Q
Pm2Sm4Ho | PBE | optimized geometry

a = 3.615 Å, b = 8.107 Å, c = 9.571 Å
α = 115.07°, β = 67.84°, γ = 102.90°
Sites, in units of the cell vectors:
Pm 0.429 0.574 0.858
Pm 0.571 0.426 0.142
Sm 0.855 0.142 0.715
Sm 0.145 0.858 0.285
Sm 0.286 0.715 0.572
Sm 0.714 0.285 0.428
Ho 0.000 0.000 0.000

Calculated values
SG ... C2/m



Each structure's energy above the most stable one, in meV/atom: P 110; Q 0.



## P
Pm2Sm2Ho | PBE | optimized geometry

a = 5.788 Å, b = 3.636 Å, c = 16.462 Å
α = 96.34°, β = 100.13°, γ = 90.00°
Sites, in units of the cell vectors:
Pm 0.942 0.192 0.884
Pm 0.457 0.707 0.914
Pm 0.058 0.808 0.116
Pm 0.543 0.293 0.086
Sm 0.631 0.881 0.263
Sm 0.729 0.979 0.458
Sm 0.271 0.021 0.542
Sm 0.369 0.119 0.737
Ho 0.828 0.578 0.656
Ho 0.172 0.422 0.344

Calculated values
SG ... Imma



## Q
Pm2Sm2Ho | PBE | optimized geometry

a = 6.169 Å, b = 9.995 Å, c = 8.702 Å
α = 42.44°, β = 69.24°, γ = 72.02°
Sites, in units of the cell vectors:
Pm 0.748 0.922 0.687
Pm 0.643 0.422 0.187
Pm 0.252 0.078 0.313
Pm 0.357 0.578 0.813
Ho 0.429 0.250 0.750
Ho 0.571 0.750 0.250
Sm 0.983 0.646 0.547
Sm 0.017 0.354 0.453
Sm 0.825 0.146 0.047
Sm 0.175 0.854 0.953

Calculated values
SG ... C2/c



Each structure's energy above the most stable one, in meV/atom: P 65; Q 0.



## P
PmSm3Ho6 | PBE | optimized geometry

a = 6.237 Å, b = 10.977 Å, c = 10.977 Å
α = 119.55°, β = 90.00°, γ = 90.00°
Sites, in units of the cell vectors:
Ho 0.036 0.712 0.618
Ho 0.141 0.720 0.280
Ho 0.641 0.280 0.720
Ho 0.904 0.045 0.955
Ho 0.369 0.042 0.463
Ho 0.036 0.382 0.288
Ho 0.404 0.955 0.045
Ho 0.536 0.618 0.712
Ho 0.869 0.463 0.042
Ho 0.869 0.958 0.537
Ho 0.536 0.288 0.382
Ho 0.369 0.537 0.958
Sm 0.068 0.390 0.610
Sm 0.460 0.283 0.062
Sm 0.960 0.717 0.938
Sm 0.568 0.610 0.390
Sm 0.960 0.062 0.283
Sm 0.460 0.938 0.717
Pm 0.641 0.796 0.204
Pm 0.141 0.204 0.796

Calculated values
SG ... Cmc2_1



## Q
PmSm3Ho6 | PBE | optimized geometry

a = 9.889 Å, b = 9.889 Å, c = 6.895 Å
α = 44.19°, β = 44.19°, γ = 60.00°
Sites, in units of the cell vectors:
Sm 0.400 0.400 0.801
Sm 0.649 0.649 0.053
Sm 0.150 0.150 0.551
Ho 0.728 0.072 0.799
Ho 0.228 0.901 0.299
Ho 0.901 0.572 0.299
Ho 0.572 0.228 0.299
Ho 0.401 0.728 0.799
Ho 0.072 0.401 0.799
Pm 0.900 0.900 0.301

Calculated values
SG ... R3



Each structure's energy above the most stable one, in meV/atom: P 0; Q 140.



## P
Pm2SmHo3 | PBE | optimized geometry

a = 3.506 Å, b = 10.286 Å, c = 11.777 Å
α = 108.24°, β = 98.56°, γ = 90.00°
Sites, in units of the cell vectors:
Pm 0.309 0.628 0.618
Pm 0.068 0.137 0.136
Pm 0.932 0.863 0.864
Pm 0.691 0.372 0.382
Sm 0.688 0.037 0.375
Sm 0.312 0.963 0.625
Ho 0.069 0.762 0.138
Ho 0.695 0.715 0.389
Ho 0.305 0.285 0.611
Ho 0.441 0.555 0.883
Ho 0.559 0.445 0.117
Ho 0.931 0.238 0.862

Calculated values
SG ... C2/m



## Q
Pm2SmHo3 | PBE | optimized geometry

a = 5.579 Å, b = 8.954 Å, c = 10.080 Å
α = 122.66°, β = 90.00°, γ = 108.15°
Sites, in units of the cell vectors:
Sm 0.866 0.732 0.861
Sm 0.134 0.268 0.139
Pm 0.227 0.455 0.871
Pm 0.487 0.974 0.139
Pm 0.773 0.545 0.129
Pm 0.513 0.026 0.861
Ho 0.294 0.588 0.577
Ho 0.612 0.225 0.655
Ho 0.388 0.775 0.345
Ho 0.950 0.901 0.604
Ho 0.050 0.099 0.396
Ho 0.706 0.412 0.423

Calculated values
SG ... C2/m



Each structure's energy above the most stable one, in meV/atom: P 20; Q 0.



## P
PmSm6Ho12 | PBE | optimized geometry

a = 8.727 Å, b = 9.423 Å, c = 9.423 Å
α = 69.08°, β = 72.02°, γ = 107.98°
Sites, in units of the cell vectors:
Sm 0.421 0.475 0.209
Sm 0.054 0.685 0.525
Sm 0.369 0.791 0.685
Sm 0.631 0.209 0.315
Sm 0.579 0.525 0.791
Sm 0.946 0.315 0.475
Ho 0.526 0.842 0.263
Ho 0.474 0.158 0.737
Ho 0.789 0.263 0.895
Ho 0.157 0.052 0.580
Ho 0.316 0.105 0.158
Ho 0.737 0.580 0.368
Ho 0.843 0.948 0.420
Ho 0.105 0.368 0.052
Ho 0.211 0.737 0.105
Ho 0.263 0.420 0.632
Ho 0.684 0.895 0.842
Ho 0.895 0.632 0.948
Pm 0.000 0.000 0.000

Calculated values
SG ... R-3



## Q
PmSm6Ho12 | PBE | optimized geometry

a = 8.835 Å, b = 8.835 Å, c = 8.835 Å
α = 99.47°, β = 99.47°, γ = 99.47°
Sites, in units of the cell vectors:
Ho 0.466 0.466 0.180
Ho 0.117 0.883 0.500
Ho 0.883 0.117 0.500
Ho 0.534 0.534 0.820
Ho 0.466 0.180 0.466
Ho 0.534 0.820 0.534
Ho 0.883 0.500 0.117
Ho 0.117 0.500 0.883
Ho 0.500 0.117 0.883
Ho 0.500 0.883 0.117
Ho 0.180 0.466 0.466
Ho 0.820 0.534 0.534
Sm 0.257 0.789 0.789
Sm 0.743 0.211 0.211
Sm 0.211 0.211 0.743
Sm 0.789 0.789 0.257
Sm 0.789 0.257 0.789
Sm 0.211 0.743 0.211
Pm 0.000 0.000 0.000

Calculated values
SG ... R-3m



Each structure's energy above the most stable one, in meV/atom: P 0; Q 441.